Here is a relaxed structure of CsTbFeO3 from Alexandria. Energies are from GGA+U.

Lattice parameters (Å, degrees): 3.711 7.954 9.418 114.42 90.00 90.00
Fractional positions:
Cs: 0.750 0.782 0.800
Cs: 0.250 0.218 0.200
Tb: 0.250 0.675 0.136
Tb: 0.750 0.325 0.864
Fe: 0.250 0.039 0.624
Fe: 0.750 0.961 0.376
O: 0.250 0.917 0.394
O: 0.750 0.865 0.150
O: 0.750 0.482 0.122
O: 0.750 0.083 0.606
O: 0.250 0.518 0.878
O: 0.250 0.135 0.850

Properties
Total energy: -76.06 eV for the cell shown
Density: 5191 kg/m3